Entry 1:
YAg3N GGA-PBEsol relaxed; SG = Pm-3m, No. 221; VASP energy = -14.9 eV for the cell shown; formation energy from raw total energies = 2072 meV/atom
1.0
5.5814 0.0000 0.0000
0.0000 5.5814 0.0000
0.0000 0.0000 5.5814
Y Ag N
1 3 1
Direct
0.0000 0.0000 0.0000
0.0000 0.0000 0.5000
0.0000 0.5000 0.0000
0.5000 0.0000 0.0000
0.5000 0.5000 0.5000



Entry 2:
ZrScHg2 GGA-PBEsol relaxed; SG = Pmmm, No. 47; VASP energy = -18.4 eV for the cell shown; energy relative to the elements = -0.384 eV/atom; relative energy among the computed polymorphs = 0.008 eV per atom
1.0
3.1530 0.0000 0.0000
0.0000 4.1084 0.0000
0.0000 0.0000 6.3360
Zr Sc Hg
1 1 2
Direct
0.0000 0.0000 0.0000
0.0000 0.0000 0.5000
0.5000 0.5000 0.2520
0.5000 0.5000 0.7480



Entry 3:
Ba3NiO4 GGA-PBEsol relaxed; SG = R-3c, No. 167; VASP energy = -100.9 eV for the cell shown; formation energy from raw total energies = -2108 meV/atom
1.0
3.8946 2.2485 5.5338
-3.8946 2.2485 5.5338
0.0000 -4.4971 5.5338
Ba Ni O
6 2 8
Direct
0.1643 0.7500 0.3357
0.2500 0.6643 0.8357
0.3357 0.1643 0.7500
0.6643 0.8357 0.2500
0.7500 0.3357 0.1643
0.8357 0.2500 0.6643
0.2500 0.2500 0.2500
0.7500 0.7500 0.7500
0.0000 0.0000 0.0000
0.0170 0.4830 0.2500
0.2500 0.0170 0.4830
0.4830 0.2500 0.0170
0.5000 0.5000 0.5000
0.5170 0.7500 0.9830
0.7500 0.9830 0.5170
0.9830 0.5170 0.7500



Entry 4:
AsRhPb2 GGA-PBEsol relaxed; SG = R-3m, No. 166; VASP energy = -61.4 eV for the cell shown; energy relative to the elements = 0.194 eV/atom
1.0
3.7161 0.0000 0.0000
-1.8581 3.2183 0.0000
0.0000 0.0000 22.1955
As Rh Pb
3 3 6
Direct
0.0000 0.0000 0.0000
0.3333 0.6667 0.6667
0.6667 0.3333 0.3333
0.0000 0.0000 0.5000
0.3333 0.6667 0.1667
0.6667 0.3333 0.8333
0.0000 0.0000 0.2444
0.0000 0.0000 0.7556
0.3333 0.6667 0.4223
0.3333 0.6667 0.9111
0.6667 0.3333 0.0889
0.6667 0.3333 0.5777